No. 1
PuRuN: relaxed, PBE-GGA.

Geometry as extended XYZ:
```
3
Lattice="-2.0035 2.0035 3.1213 2.0035 -2.0035 3.1213 2.0035 2.0035 -3.1213" Properties=species:S:1:pos:R:3 pbc="T T T"
Pu 0.0000 0.0000 0.0000
Ru 0.0000 0.0000 2.2728
N 0.0000 0.0000 4.2547
```

Output
* ΔE to the lowest computed polymorph: 241 meV/atom
* space group: I4mm, No. 107
* magnetic moment: 2.99 μB/cell
* volume: 16.71 Å³ per atom
* uncorrected formation energy: 214 meV per atom
* Fermi-level density of states: 4.15 states/eV/cell

***

No. 2
HfFe2Ag: relaxed, PBE-GGA.

Geometry as extended XYZ:
```
8
Lattice="-1.9214 1.9214 9.2025 1.9214 -1.9214 9.2025 1.9214 1.9214 -9.2025" Properties=species:S:1:pos:R:3 pbc="T T T"
Hf 0.0000 0.0000 0.0000
Hf 0.0000 1.9214 4.6012
Fe 2.8822 0.9017 -2.3006
Fe 0.9017 0.9607 2.3006
Fe -0.9607 1.0197 6.9018
Fe 1.0197 0.9607 11.5031
Ag 1.9214 0.0000 4.6012
Ag 0.0000 0.0000 9.2025
```

Output
* ΔE to the lowest computed polymorph: 367 meV/atom
* space group: I-42d, No. 122
* magnetic moment: 8.34 μB/cell
* energy of formation: 579 meV/atom
* volume: 16.99 Å³ per atom
* Fermi-level density of states: 6.87 states/eV/cell